Entry 1
TlTeSe2 | SCAN | PBEsol geometry

```
TlTeSe2
1.0
3.667 -2.264 0.000
3.667 2.264 0.000
-2.477 0.000 6.532
Tl Te Se
1 1 2
direct
0.000 0.000 0.000
0.500 0.500 0.500
0.255 0.255 0.725
0.745 0.745 0.275
```

Properties
D(E_F)	1.67	states/eV/cell
crystal system	monoclinic
magnetic moment	0.00	μB/f.u.

Entry 2
TlTeSe2 | SCAN | PBEsol geometry

```
TlTeSe2
1.0
3.797 0.000 0.000
0.000 3.839 0.000
0.000 0.000 7.565
Tl Te Se
1 1 2
direct
0.000 0.000 0.000
0.500 0.000 0.500
0.500 0.500 0.240
0.500 0.500 0.760
```

Properties
D(E_F)	1.52	states/eV/cell
crystal system	orthorhombic
magnetic moment	0.00	μB/f.u.

Stability check: which of them is most stable? entry 2.

Entry 1
TlTeSe2 | SCAN | PBEsol geometry

```
TlTeSe2
1.0
4.103 0.000 0.000
0.000 4.103 0.000
0.000 0.000 7.375
Tl Te Se
1 1 2
direct
0.000 0.000 0.000
0.500 0.500 0.497
0.000 0.000 0.525
0.500 0.500 0.154
```

Properties
D(E_F)	1.42	states/eV/cell
crystal system	tetragonal
magnetic moment	0.00	μB/f.u.

Entry 2
TlTeSe2 | SCAN | PBEsol geometry

```
TlTeSe2
1.0
7.085 -2.049 0.000
7.085 2.049 0.000
-1.164 0.000 3.927
Tl Te Se
1 1 2
direct
0.000 0.000 0.000
0.237 0.237 0.242
0.426 0.426 0.429
0.718 0.718 0.723
```

Properties
D(E_F)	1.29	states/eV/cell
crystal system	monoclinic
magnetic moment	0.00	μB/f.u.

Entry 3
TlTeSe2 | SCAN | PBEsol geometry

```
TlTeSe2
1.0
-1.947 3.003 4.654
1.947 -3.003 4.654
1.947 3.003 -4.654
Tl Te Se
1 1 2
direct
0.000 0.000 0.000
0.500 0.500 0.000
0.293 0.793 0.500
0.707 0.207 0.500
```

Properties
D(E_F)	1.78	states/eV/cell
crystal system	orthorhombic
magnetic moment	0.00	μB/f.u.

Stability check: which of them is most stable? entry 2.

Entry 1
TlTeSe2 | SCAN | PBEsol geometry

```
TlTeSe2
1.0
4.184 0.000 0.000
0.000 4.182 0.000
-0.007 0.000 6.002
Tl Te Se
1 1 2
direct
0.000 0.000 0.000
0.500 0.500 0.500
0.000 0.000 0.500
0.500 0.500 0.000
```

Properties
D(E_F)	2.11	states/eV/cell
crystal system	monoclinic
magnetic moment	0.00	μB/f.u.

Entry 2
TlTeSe2 | SCAN | PBEsol geometry

```
TlTeSe2
1.0
5.820 0.000 0.000
0.000 5.821 0.000
0.000 0.000 3.073
Tl Te Se
1 1 2
direct
0.000 0.000 0.000
0.500 0.500 0.503
0.000 0.500 0.501
0.500 0.000 0.505
```

Properties
D(E_F)	1.53	states/eV/cell
crystal system	orthorhombic
magnetic moment	0.00	μB/f.u.

Stability check: which of them is most stable? entry 1.

Entry 1
TeW2Se | SCAN | PBEsol geometry

```
TeW2Se
1.0
3.106 0.000 0.000
0.000 3.106 0.000
0.000 0.000 7.990
Te W Se
1 2 1
direct
0.000 0.000 0.000
0.000 0.000 0.444
0.500 0.500 0.214
0.500 0.500 0.616
```

Properties
D(E_F)	2.74	states/eV/cell
crystal system	tetragonal
magnetic moment	0.00	μB/f.u.

Entry 2
TeW2Se | SCAN | PBEsol geometry

```
TeW2Se
1.0
4.175 -1.568 0.000
4.175 1.568 0.000
-1.173 0.000 5.319
Te W Se
1 2 1
direct
0.000 0.000 0.000
0.248 0.248 0.717
0.752 0.752 0.283
0.500 0.500 0.500
```

Properties
D(E_F)	2.75	states/eV/cell
crystal system	monoclinic
magnetic moment	0.00	μB/f.u.

Stability check: which of them is most stable? entry 1.

Entry 1
TeW2Se | SCAN | PBEsol geometry

```
TeW2Se
1.0
-2.109 2.109 3.935
2.109 -2.109 3.935
2.109 2.109 -3.935
Te W Se
1 2 1
direct
0.000 0.000 0.000
0.500 0.500 0.000
0.750 0.250 0.500
0.250 0.750 0.500
```

Properties
D(E_F)	2.58	states/eV/cell
crystal system	tetragonal
magnetic moment	0.00	μB/f.u.

Entry 2
TeW2Se | SCAN | PBEsol geometry

```
TeW2Se
1.0
2.723 -4.548 0.000
2.723 4.548 0.000
-1.906 0.000 2.954
Te W Se
1 2 1
direct
0.000 0.000 0.000
0.000 0.500 0.500
0.500 0.000 0.500
0.500 0.500 0.000
```

Properties
D(E_F)	3.40	states/eV/cell
crystal system	monoclinic
magnetic moment	0.00	μB/f.u.

Stability check: which of them is most stable? entry 1.

Entry 1
ZnTeSe3 | SCAN | PBEsol geometry

```
ZnTeSe3
1.0
4.819 0.000 0.000
0.000 4.819 0.000
0.000 0.000 4.819
Zn Te Se
1 1 3
direct
0.000 0.000 0.000
0.500 0.500 0.500
0.000 0.000 0.500
0.000 0.500 0.000
0.500 0.000 0.000
```

Properties
D(E_F)	3.72	states/eV/cell
crystal system	cubic
magnetic moment	0.00	μB/f.u.

Entry 2
ZnTeSe3 | SCAN | PBEsol geometry

```
ZnTeSe3
1.0
5.259 0.000 0.000
0.000 5.259 0.000
0.000 0.000 5.259
Zn Te Se
1 1 3
direct
0.000 0.000 0.000
0.500 0.500 0.500
0.000 0.500 0.500
0.500 0.000 0.500
0.500 0.500 0.000
```

Properties
D(E_F)	4.02	states/eV/cell
crystal system	cubic
magnetic moment	0.00	μB/f.u.

Stability check: which of them is most stable? entry 1.

Entry 1
ZrTeSe | SCAN | PBEsol geometry

```
ZrTeSe
1.0
3.792 0.000 0.000
-1.896 3.284 0.000
0.000 0.000 6.405
Zr Te Se
1 1 1
direct
0.000 0.000 0.000
0.667 0.333 0.296
0.333 0.667 0.763
```

Properties
D(E_F)	0.48	states/eV/cell
crystal system	trigonal
magnetic moment	0.00	μB/f.u.

Entry 2
ZrTeSe | SCAN | PBEsol geometry

```
ZrTeSe
1.0
-1.662 1.662 6.534
1.662 -1.662 6.534
1.662 1.662 -6.534
Zr Te Se
1 1 1
direct
0.000 0.000 0.000
0.342 0.342 0.000
0.609 0.609 0.000
```

Properties
D(E_F)	0.62	states/eV/cell
crystal system	tetragonal
magnetic moment	0.00	μB/f.u.

Stability check: which of them is most stable? entry 1.

Entry 1
Ti3Se4 | SCAN | PBEsol geometry

```
Ti3Se4
1.0
6.704 -1.733 0.000
6.704 1.733 0.000
-2.940 0.000 5.644
Ti Se
3 4
direct
0.000 0.000 0.000
0.251 0.251 0.294
0.749 0.749 0.706
0.109 0.109 0.448
0.367 0.367 0.039
0.633 0.633 0.961
0.891 0.891 0.552
```

Properties
D(E_F)	4.31	states/eV/cell
crystal system	monoclinic
magnetic moment	0.32	μB/f.u.

Entry 2
Ti3Se4 | SCAN | PBEsol geometry

```
Ti3Se4
1.0
9.792 0.000 0.000
-4.896 8.481 0.000
0.000 0.000 3.495
Ti Se
6 8
direct
0.129 0.489 0.250
0.360 0.871 0.250
0.489 0.360 0.750
0.511 0.640 0.250
0.640 0.129 0.750
0.871 0.511 0.750
0.052 0.702 0.250
0.298 0.350 0.250
0.333 0.667 0.750
0.350 0.052 0.750
0.650 0.948 0.250
0.667 0.333 0.250
0.702 0.650 0.750
0.948 0.298 0.750
```

Properties
D(E_F)	3.98	states/eV/cell
crystal system	hexagonal
magnetic moment	0.00	μB/f.u.

Stability check: which of them is most stable? entry 2.

Entry 1
TlSe2 | SCAN | PBEsol geometry

```
TlSe2
1.0
-3.140 3.140 3.986
3.140 -3.140 3.986
3.140 3.140 -3.986
Tl Se
2 4
direct
0.250 0.250 0.000
0.750 0.750 0.000
0.130 0.630 0.761
0.370 0.130 0.500
0.630 0.870 0.500
0.870 0.370 0.239
```

Properties
D(E_F)	4.09	states/eV/cell
crystal system	tetragonal
magnetic moment	0.00	μB/f.u.

Entry 2
TlSe2 | SCAN | PBEsol geometry

```
TlSe2
1.0
7.074 -1.940 0.000
7.074 1.940 0.000
-3.148 0.000 5.960
Tl Se
2 4
direct
0.000 0.000 0.000
0.661 0.661 0.468
0.246 0.246 0.073
0.315 0.315 0.811
0.487 0.487 0.617
0.868 0.868 0.349
```

Properties
D(E_F)	0.15	states/eV/cell
crystal system	monoclinic
magnetic moment	0.00	μB/f.u.

Stability check: which of them is most stable? entry 2.

Entry 1
TlSe2 | SCAN | PBEsol geometry

```
TlSe2
1.0
7.060 0.000 0.000
0.000 7.060 0.000
0.000 0.000 7.060
Tl Se
4 8
direct
0.000 0.000 0.000
0.000 0.500 0.500
0.500 0.000 0.500
0.500 0.500 0.000
0.095 0.595 0.905
0.095 0.905 0.405
0.405 0.095 0.905
0.405 0.405 0.405
0.595 0.595 0.595
0.595 0.905 0.095
0.905 0.095 0.595
0.905 0.405 0.095
```

Properties
D(E_F)	4.30	states/eV/cell
crystal system	cubic
magnetic moment	0.00	μB/f.u.

Entry 2
TlSe2 | SCAN | PBEsol geometry

```
TlSe2
1.0
4.630 0.000 0.000
-2.315 4.010 0.000
0.000 0.000 8.488
Tl Se
2 4
direct
0.000 0.000 0.250
0.000 0.000 0.750
0.333 0.667 0.023
0.333 0.667 0.477
0.667 0.333 0.523
0.667 0.333 0.977
```

Properties
D(E_F)	4.05	states/eV/cell
crystal system	hexagonal
magnetic moment	0.00	μB/f.u.

Entry 3
TlSe2 | SCAN | PBEsol geometry

```
TlSe2
1.0
2.431 -5.776 0.000
2.431 5.776 0.000
0.000 0.000 5.809
Tl Se
2 4
direct
0.193 0.807 0.750
0.807 0.193 0.250
0.089 0.911 0.250
0.483 0.517 0.750
0.517 0.483 0.250
0.911 0.089 0.750
```

Properties
D(E_F)	1.22	states/eV/cell
crystal system	orthorhombic
magnetic moment	0.00	μB/f.u.

Entry 4
TlSe2 | SCAN | PBEsol geometry

```
TlSe2
1.0
4.776 -2.090 0.000
4.776 2.090 0.000
-0.960 0.000 8.393
Tl Se
2 4
direct
0.030 0.030 0.242
0.970 0.970 0.758
0.296 0.296 0.066
0.376 0.376 0.515
0.624 0.624 0.485
0.704 0.704 0.934
```

Properties
D(E_F)	2.12	states/eV/cell
crystal system	monoclinic
magnetic moment	0.00	μB/f.u.

Stability check: which of them is most stable? entry 1.

Entry 1
TlW2Se | SCAN | PBEsol geometry

```
TlW2Se
1.0
3.029 0.000 0.000
0.000 4.568 0.000
-1.475 0.000 5.320
Tl W Se
1 2 1
direct
0.000 0.000 0.000
0.272 0.000 0.514
0.674 0.500 0.337
0.354 0.500 0.712
```

Properties
D(E_F)	3.02	states/eV/cell
crystal system	monoclinic
magnetic moment	0.00	μB/f.u.

Entry 2
TlW2Se | SCAN | PBEsol geometry

```
TlW2Se
1.0
3.980 0.000 0.000
0.000 3.980 0.000
0.000 0.000 4.562
Tl W Se
1 2 1
direct
0.000 0.000 0.000
0.000 0.500 0.500
0.500 0.000 0.500
0.500 0.500 0.000
```

Properties
D(E_F)	2.75	states/eV/cell
crystal system	tetragonal
magnetic moment	0.00	μB/f.u.

Stability check: which of them is most stable? entry 1.

Entry 1
TlZn2Se | SCAN | PBEsol geometry

```
TlZn2Se
1.0
0.000 3.456 3.456
3.456 0.000 3.456
3.456 3.456 0.000
Tl Zn Se
1 2 1
direct
0.000 0.000 0.000
0.250 0.250 0.250
0.750 0.750 0.750
0.500 0.500 0.500
```

Properties
D(E_F)	1.26	states/eV/cell
crystal system	cubic
magnetic moment	0.00	μB/f.u.

Entry 2
TlZn2Se | SCAN | PBEsol geometry

```
TlZn2Se
1.0
3.784 0.000 0.000
0.000 3.958 0.000
0.000 0.000 5.584
Tl Zn Se
1 2 1
direct
0.000 0.000 0.000
0.000 0.500 0.500
0.500 0.500 0.000
0.500 0.000 0.500
```

Properties
D(E_F)	0.91	states/eV/cell
crystal system	orthorhombic
magnetic moment	0.00	μB/f.u.

Entry 3
TlZn2Se | SCAN | PBEsol geometry

```
TlZn2Se
1.0
-1.794 2.974 4.056
1.794 -2.974 4.056
1.794 2.974 -4.056
Tl Zn Se
1 2 1
direct
0.000 0.000 0.000
0.275 0.775 0.500
0.725 0.225 0.500
0.500 0.500 0.000
```

Properties
D(E_F)	0.92	states/eV/cell
crystal system	orthorhombic
magnetic moment	0.00	μB/f.u.

Stability check: which of them is most stable? entry 3.